1.
Density functional theory data (PBE) for a relaxed structure of Te2PdBr.

Unit cell a=4.1420 b=4.1420 c=7.8503 alpha=90.00 beta=90.00 gamma=120.00
Last column: nearest neighbours and their distance in Å.
Fractional positions:
Br  0.3333  0.6667  0.4612  1 Te 2.93
Te  0.6667  0.3333  0.1647  3 Pd 2.74
Te  0.3333  0.6667  0.8349  3 Pd 2.70, 1 Br 2.93
Pd  0.0000  0.0000  0.9942  6 Te 2.70-2.74

2.
Density functional theory data (PBE) for a relaxed structure of TePd2Br2.

Unit cell a=3.7950 b=9.6937 c=8.0298 alpha=110.17 beta=90.00 gamma=90.00
Last column: nearest neighbours and their distance in Å.
Fractional positions:
Br  0.2500  0.7942  0.1013  2 Pd 2.57
Br  0.7500  0.1592  0.4054  2 Pd 2.58
Br  0.7500  0.2058  0.8987  2 Pd 2.57
Br  0.2500  0.8408  0.5946  2 Pd 2.58
Pd  0.2500  0.3937  0.9451  2 Br 2.57, 1 Te 2.61, 2 Pd 2.71
Pd  0.2500  0.3379  0.5615  2 Br 2.58, 2 Te 2.60
Pd  0.7500  0.6621  0.4385  2 Br 2.58, 2 Te 2.60
Pd  0.7500  0.6063  0.0549  2 Br 2.57, 1 Te 2.61, 2 Pd 2.71
Te  0.7500  0.5226  0.7086  3 Pd 2.60-2.61
Te  0.2500  0.4774  0.2914  3 Pd 2.60-2.61

3.
Density functional theory data (PBE) for a relaxed structure of Te2PdBr.

Unit cell a=4.0804 b=8.1410 c=6.9595 alpha=90.32 beta=73.72 gamma=89.42
Last column: nearest neighbours and their distance in Å.
Fractional positions:
Pd  0.1787  0.3749  0.6442  1 Br 2.62, 5 Te 2.70-2.75
Pd  0.8457  0.7046  0.3036  1 Br 2.62, 5 Te 2.70-2.75
Br  0.1462  0.0572  0.7054  1 Pd 2.62
Br  0.8776  0.0223  0.2422  1 Pd 2.62
Te  0.5503  0.3730  0.9176  2 Pd 2.73-2.75, 1 Te 2.81
Te  0.4741  0.7065  0.0301  2 Pd 2.73-2.75, 1 Te 2.81
Te  0.8028  0.3785  0.3768  3 Pd 2.70-2.72
Te  0.2216  0.7010  0.5710  3 Pd 2.70-2.72

4.
Density functional theory data (PBE) for a relaxed structure of Te2PdBr.

Unit cell a=4.1136 b=4.1136 c=7.9069 alpha=74.92 beta=74.92 gamma=60.00
Last column: nearest neighbours and their distance in Å.
Fractional positions:
Te  0.2788  0.2788  0.1635  3 Pd 2.70
Te  0.0603  0.0603  0.8192  3 Pd 2.71
Pd  0.6690  0.6690  0.9931  6 Te 2.70-2.71
Br  0.4920  0.4920  0.5241  6 Te 3.26-3.61

5.
Density functional theory data (PBE) for a relaxed structure of Te2PdBr.

Unit cell a=17.1909 b=7.4140 c=7.4140 alpha=70.24 beta=98.01 gamma=81.99
Last column: nearest neighbours and their distance in Å.
Fractional positions:
Pd  0.1609  0.8869  0.3257  1 Br 2.69, 5 Te 2.71-2.85, 1 Pd 2.98
Pd  0.3391  0.8257  0.3869  1 Br 2.69, 5 Te 2.71-2.85, 1 Pd 2.98
Pd  0.3367  0.1028  0.6626  5 Te 2.69-2.81, 1 Br 2.82, 1 Pd 2.90
Pd  0.6609  0.1743  0.6131  1 Br 2.69, 5 Te 2.71-2.85, 1 Pd 2.98
Pd  0.6633  0.8972  0.3374  5 Te 2.69-2.81, 1 Br 2.82, 1 Pd 2.90
Pd  0.8391  0.1131  0.6743  1 Br 2.69, 5 Te 2.71-2.85, 1 Pd 2.98
Pd  0.8367  0.8374  0.3972  5 Te 2.69-2.81, 1 Br 2.82, 1 Pd 2.90
Pd  0.1633  0.1626  0.6028  5 Te 2.69-2.81, 1 Br 2.82, 1 Pd 2.90
Te  0.5333  0.1465  0.3723  2 Pd 2.71-2.79, 1 Te 2.85
Te  0.9667  0.8723  0.6465  2 Pd 2.71-2.79, 1 Te 2.85
Te  0.2500  0.6630  0.1630  2 Pd 2.78, 2 Te 3.08
Te  0.7598  0.8095  0.7068  4 Pd 2.75-2.81, 1 Br 3.04
Te  0.1023  0.9828  0.9187  2 Pd 2.71-2.85
Te  0.7500  0.6803  0.1803  2 Pd 2.69
Te  0.6023  0.5813  0.5172  2 Pd 2.71-2.85
Te  0.8977  0.0172  0.0813  2 Pd 2.71-2.85
Te  0.3977  0.4187  0.4828  2 Pd 2.71-2.85
Te  0.2500  0.3197  0.8197  2 Pd 2.69
Te  0.4667  0.8535  0.6277  2 Pd 2.71-2.79, 1 Te 2.85
Te  0.2402  0.1905  0.2932  4 Pd 2.75-2.81, 1 Br 3.04
Te  0.0333  0.1277  0.3535  2 Pd 2.71-2.79, 1 Te 2.85
Te  0.7402  0.2068  0.3095  4 Pd 2.75-2.81, 1 Br 3.04
Te  0.7500  0.3370  0.8370  2 Pd 2.78, 2 Te 3.08
Te  0.2598  0.7932  0.6905  4 Pd 2.75-2.81, 1 Br 3.04
Br  0.4038  0.9474  0.0664  2 Pd 2.69-2.82
Br  0.0962  0.5664  0.4474  2 Pd 2.69-2.82
Br  0.5982  0.5294  0.0573  2 Te 3.04-3.12
Br  0.5962  0.0526  0.9336  2 Pd 2.69-2.82
Br  0.9038  0.4336  0.5526  2 Pd 2.69-2.82
Br  0.9018  0.5573  0.0294  2 Te 3.04-3.12
Br  0.4018  0.4706  0.9427  2 Te 3.04-3.12
Br  0.0982  0.4427  0.9706  2 Te 3.04-3.12

6.
Density functional theory data (PBE) for a relaxed structure of TePd2Br.

Unit cell a=6.6443 b=6.6443 c=6.6350 alpha=59.95 beta=59.95 gamma=90.00
Last column: nearest neighbours and their distance in Å.
Fractional positions:
Pd  0.6393  0.1250  0.2500  2 Te 2.57, 2 Br 2.69
Pd  0.8750  0.8893  0.7500  2 Te 2.57, 2 Br 2.69
Pd  0.1107  0.6250  0.2500  2 Te 2.57, 2 Br 2.69
Pd  0.3750  0.3607  0.7500  2 Te 2.57, 2 Br 2.69
Te  0.7500  0.2500  0.5000  4 Pd 2.57
Te  0.0000  0.0000  0.0000  4 Pd 2.57
Br  0.5000  0.5000  0.0000  4 Pd 2.69
Br  0.2500  0.7500  0.5000  4 Pd 2.69

| no. | E_tot (eV per atom) | formation energy (no corrections) (eV/atom) |
| --- | --- | --- |
| 1 | -3.5841 | -0.297 |
| 2 | -3.6976 | -0.323 |
| 3 | -3.5856 | -0.298 |
| 4 | -3.5821 | -0.295 |
| 5 | -3.4466 | -0.159 |
| 6 | -3.8891 | -0.089 |